Compound: Mn3ReMo
Source: Alexandria via LeMat-Bulk
Functional: PBE
Structure: relaxed

DOS at the Fermi energy: 9.8 states/eV/f.u.
relative energy among the computed polymorphs: 0 meV/atom
electronic total energy: -8.38 eV/atom

Cell lengths 4.375, 4.375, 4.375 Å; angles 90.00, 90.00, 90.00 degrees
Fractional coordinates of all 5 atoms:
Mn: 0.000 0.000 0.500
Mn: 0.000 0.500 0.000
Mn: 0.500 0.000 0.000
Re: 0.000 0.000 0.000
Mo: 0.500 0.500 0.500

---

Compound: MnReMo2
Source: Alexandria via LeMat-Bulk
Functional: PBE
Structure: relaxed

DOS at the Fermi energy: 3.9 states/eV/f.u.
relative energy among the computed polymorphs: 15 meV/atom
electronic total energy: -10.74 eV/atom

Cell lengths 3.153, 4.332, 4.346 Å; angles 90.00, 90.00, 90.00 degrees
Fractional coordinates of all 4 atoms:
Mn: 0.000 0.000 0.000
Re: 0.500 0.000 0.500
Mo: 0.000 0.500 0.500
Mo: 0.500 0.500 0.000

---

Compound: MnReMo2
Source: Alexandria via LeMat-Bulk
Functional: PBE
Structure: relaxed

DOS at the Fermi energy: 3.2 states/eV/f.u.
relative energy among the computed polymorphs: 4 meV/atom
electronic total energy: -10.75 eV/atom

Cell lengths 5.139, 5.139, 2.669 Å; angles 99.64, 99.64, 117.18 degrees
Fractional coordinates of all 4 atoms:
Mn: 0.000 0.000 0.000
Re: 0.500 0.500 0.000
Mo: 0.000 0.500 0.500
Mo: 0.500 0.000 0.500

---

Compound: MnReMo
Source: Alexandria via LeMat-Bulk
Functional: PBE
Structure: relaxed

DOS at the Fermi energy: 2.0 states/eV/f.u.
relative energy among the computed polymorphs: 26 meV/atom
electronic total energy: -10.72 eV/atom

Cell lengths 6.657, 6.496, 2.672 Å; angles 81.69, 74.91, 23.40 degrees
Fractional coordinates of all 3 atoms:
Mn: 0.000 0.000 0.000
Re: 0.659 0.659 0.341
Mo: 0.337 0.337 0.663

---

Compound: Mn2ReMo
Source: Alexandria via LeMat-Bulk
Functional: PBE
Structure: relaxed

DOS at the Fermi energy: 3.5 states/eV/f.u.
electronic total energy: -10.31 eV/atom

Cell lengths 4.881, 4.881, 4.881 Å; angles 142.34, 128.59, 65.45 degrees
Fractional coordinates of all 4 atoms:
Mn: 0.250 0.250 0.000
Mn: 0.750 0.750 0.000
Re: 0.500 0.000 0.500
Mo: 0.000 0.500 0.500

---

Compound: MnReMo2
Source: Alexandria via LeMat-Bulk
Functional: PBE
Structure: relaxed

DOS at the Fermi energy: 3.1 states/eV/f.u.
relative energy among the computed polymorphs: 2 meV/atom
electronic total energy: -10.75 eV/atom

Cell lengths 2.665, 4.379, 5.166 Å; angles 90.00, 100.23, 90.00 degrees
Fractional coordinates of all 4 atoms:
Mn: 0.000 0.000 0.000
Re: 0.500 0.000 0.500
Mo: 0.260 0.500 0.755
Mo: 0.740 0.500 0.245

---

Compound: Mn2ReMo
Source: Alexandria via LeMat-Bulk
Functional: PBE
Structure: relaxed

DOS at the Fermi energy: 3.9 states/eV/f.u.
electronic total energy: -10.31 eV/atom

Cell lengths 4.259, 4.259, 4.259 Å; angles 60.00, 60.00, 60.00 degrees
Fractional coordinates of all 4 atoms:
Mn: 0.000 0.000 0.000
Mn: 0.250 0.250 0.250
Re: 0.750 0.750 0.750
Mo: 0.500 0.500 0.500

---

Compound: Mn2ReMo
Source: Alexandria via LeMat-Bulk
Functional: PBE
Structure: relaxed

DOS at the Fermi energy: 4.3 states/eV/f.u.
electronic total energy: -10.26 eV/atom

Cell lengths 2.745, 3.556, 5.522 Å; angles 90.00, 90.00, 90.00 degrees
Fractional coordinates of all 4 atoms:
Mn: 0.000 0.000 0.245
Mn: 0.000 0.000 0.755
Re: 0.500 0.500 0.000
Mo: 0.500 0.500 0.500

---

Compound: Mn2ReMo
Source: Alexandria via LeMat-Bulk
Functional: PBE
Structure: relaxed

DOS at the Fermi energy: 4.3 states/eV/f.u.
electronic total energy: -10.14 eV/atom

Cell lengths 8.702, 8.702, 8.702 Å; angles 18.07, 18.07, 18.07 degrees
Fractional coordinates of all 4 atoms:
Mn: 0.248 0.248 0.248
Mn: 0.752 0.752 0.752
Re: 0.500 0.500 0.500
Mo: 0.000 0.000 0.000

---

Compound: MnReMo2
Source: Alexandria via LeMat-Bulk
Functional: PBE
Structure: relaxed

DOS at the Fermi energy: 3.5 states/eV/f.u.
relative energy among the computed polymorphs: 19 meV/atom
electronic total energy: -10.73 eV/atom

Cell lengths 5.089, 5.089, 5.089 Å; angles 143.98, 129.02, 64.00 degrees
Fractional coordinates of all 4 atoms:
Mn: 0.000 0.000 0.000
Re: 0.747 0.247 0.500
Mo: 0.253 0.753 0.500
Mo: 0.500 0.500 0.000

---

Compound: MnReMo
Source: Alexandria via LeMat-Bulk
Functional: PBE
Structure: relaxed

DOS at the Fermi energy: 2.9 states/eV/f.u.
relative energy among the computed polymorphs: 1 meV/atom
electronic total energy: -10.74 eV/atom

Cell lengths 4.357, 4.357, 2.639 Å; angles 90.00, 90.00, 120.00 degrees
Fractional coordinates of all 3 atoms:
Mn: 0.000 0.000 0.000
Re: 0.667 0.333 0.650
Mo: 0.333 0.667 0.333

---

Compound: Mn2ReMo
Source: Alexandria via LeMat-Bulk
Functional: PBE
Structure: relaxed

DOS at the Fermi energy: 4.7 states/eV/f.u.
electronic total energy: -10.25 eV/atom

Cell lengths 4.684, 4.684, 4.684 Å; angles 132.28, 132.28, 69.79 degrees
Fractional coordinates of all 4 atoms:
Mn: 0.000 0.000 0.000
Mn: 0.750 0.250 0.500
Re: 0.500 0.500 0.000
Mo: 0.250 0.750 0.500